1.
DFT (PBE) results for a relaxed La3FeBi crystal. Values from VASP.

Structure (Quantum ESPRESSO input):
```
&SYSTEM
  ibrav = 0, nat = 20, ntyp = 3
/
ATOMIC_SPECIES
La 138.91 La.upf
Fe 55.84 Fe.upf
Bi 208.98 Bi.upf
CELL_PARAMETERS angstrom
7.518 0.000 0.000
0.000 9.561 0.000
0.000 0.000 8.673
ATOMIC_POSITIONS angstrom
La 0.808 0.694 1.263
La 0.808 4.087 1.263
La 1.453 2.390 6.432
La 2.305 7.170 2.095
La 2.951 5.474 5.600
La 2.951 8.867 5.600
La 4.567 0.694 3.073
La 4.567 4.087 3.073
La 5.212 2.390 6.578
La 6.064 7.170 2.241
La 6.710 5.474 7.410
La 6.710 8.867 7.410
Fe 0.835 7.170 0.262
Fe 2.924 2.390 4.598
Fe 4.594 7.170 4.075
Fe 6.683 2.390 8.411
Bi 0.000 0.000 4.337
Bi 0.000 4.780 4.337
Bi 3.759 0.000 0.000
Bi 3.759 4.780 0.000
```

Properties
crystal system	orthorhombic
symmetry	Pnma



2.
DFT (PBE) results for a relaxed LaFeBi2 crystal. Values from VASP.

Structure (Quantum ESPRESSO input):
```
&SYSTEM
  ibrav = 0, nat = 16, ntyp = 3
/
ATOMIC_SPECIES
La 138.91 La.upf
Fe 55.84 Fe.upf
Bi 208.98 Bi.upf
CELL_PARAMETERS angstrom
7.422 0.000 0.000
0.000 7.422 0.000
0.000 0.000 7.422
ATOMIC_POSITIONS angstrom
La 0.000 0.000 0.000
La 0.000 3.711 3.711
La 3.711 0.000 3.711
La 3.711 3.711 0.000
Fe 0.000 0.000 3.711
Fe 0.000 3.711 0.000
Fe 3.711 0.000 0.000
Fe 3.711 3.711 3.711
Bi 1.855 1.855 1.855
Bi 1.855 1.855 5.566
Bi 1.855 5.566 1.855
Bi 1.855 5.566 5.566
Bi 5.566 1.855 1.855
Bi 5.566 1.855 5.566
Bi 5.566 5.566 1.855
Bi 5.566 5.566 5.566
```

Properties
crystal system	cubic
symmetry	Fm-3m



3.
DFT (PBE) results for a relaxed La3FeBi crystal. Values from VASP.

Structure (Quantum ESPRESSO input):
```
&SYSTEM
  ibrav = 0, nat = 10, ntyp = 3
/
ATOMIC_SPECIES
La 138.91 La.upf
Fe 55.84 Fe.upf
Bi 208.98 Bi.upf
CELL_PARAMETERS angstrom
5.557 0.000 0.000
-2.778 4.812 0.000
0.000 0.000 11.024
ATOMIC_POSITIONS angstrom
La 0.000 0.000 2.756
La 0.000 0.000 8.268
La 0.000 3.208 0.533
La 0.000 3.208 4.979
La 2.778 1.604 6.045
La 2.778 1.604 10.491
Fe 0.000 0.000 0.000
Fe 0.000 0.000 5.512
Bi 0.000 3.208 8.268
Bi 2.778 1.604 2.756
```

Properties
crystal system	hexagonal
symmetry	P6_3/mmc



Number 1: DFT formation energy -0.12 eV/atom, DOS at the Fermi energy 0.97 states/eV/atom. Number 2: DFT formation energy 0.23 eV/atom, DOS at the Fermi energy 1.67 states/eV/atom. Number 3: DFT formation energy -0.21 eV/atom, DOS at the Fermi energy 1.17 states/eV/atom.